This record from Alexandria describes FeSiGe2 after structural relaxation. The functional is PBE.

Output
- E (eV/atom) = -5.284
- M_tot (μB per atom) = 0.576
- DOS at the Fermi energy (states/eV/atom) = 1.3643
- ρ (Mg/m³) = 4.55
- crystal system = tetragonal
- formation energy without anion corrections (eV per atom) = 0.50

a b c (Å): 5.578 5.578 10.751
angles (deg): 90.00 90.00 90.00
Space group I-42d (No. 122)
One atom of each set of equivalent atoms:
Fe1 0.000 0.000 0.000 (multiplicity 4)
Si1 0.000 0.000 0.500 (multiplicity 4)
Ge1 0.240 0.250 0.125 (multiplicity 8)



This record from Alexandria describes Ti8VSb2 after structural relaxation. The functional is PBE.

Output
- E (eV/atom) = -7.537
- M_tot (μB per atom) = 0.000
- DOS at the Fermi energy (states/eV/atom) = 0.9238
- ρ (Mg/m³) = 5.79
- crystal system = orthorhombic
- formation energy without anion corrections (eV per atom) = -0.22

a b c (Å): 4.699 6.238 13.244
angles (deg): 90.00 90.00 90.00
Space group Immm (No. 71)
One atom of each set of equivalent atoms:
Ti1 0.000 0.000 0.169 (multiplicity 4)
Ti2 0.000 0.234 0.366 (multiplicity 8)
Ti3 0.000 0.256 0.000 (multiplicity 4)
V1 0.000 0.500 0.500 (multiplicity 2)
Sb1 0.000 0.500 0.187 (multiplicity 4)



This record from Alexandria describes HoZrI after structural relaxation. The functional is PBE.

Output
- E (eV/atom) = -5.418
- M_tot (μB per atom) = 0.000
- DOS at the Fermi energy (states/eV/atom) = 0.4322
- ρ (Mg/m³) = 6.79
- crystal system = monoclinic
- formation energy without anion corrections (eV per atom) = -0.53

a b c (Å): 5.535 5.535 12.233
angles (deg): 90.00 90.16 90.00
Space group C2/m (No. 12)
One atom of each set of equivalent atoms:
Ho1 0.249 0.000 0.293 (multiplicity 4)
Zr1 0.250 0.000 0.552 (multiplicity 4)
I1 0.248 0.500 0.151 (multiplicity 4)



This record from Alexandria describes Li2HoGeSe4 after structural relaxation. The functional is PBE.

Output
- E (eV/atom) = -4.475
- M_tot (μB per atom) = 0.000
- DOS at the Fermi energy (states/eV/atom) = 0.1956
- ρ (Mg/m³) = 5.40
- crystal system = monoclinic
- formation energy without anion corrections (eV per atom) = -1.10

a b c (Å): 6.832 3.927 6.905
angles (deg): 90.00 109.56 90.00
Space group P2/m (No. 10)
One atom of each set of equivalent atoms:
Li1 0.000 0.000 0.000 (multiplicity 1)
Li2 0.000 0.500 0.500 (multiplicity 1)
Ho1 0.500 0.000 0.500 (multiplicity 1)
Ge1 0.500 0.500 0.000 (multiplicity 1)
Se1 0.250 0.500 0.238 (multiplicity 2)
Se2 0.253 0.000 0.761 (multiplicity 2)



This record from Alexandria describes Sr2LaTl after structural relaxation. The functional is PBE.

Output
- E (eV/atom) = -2.779
- energy above the most stable polymorph in this dataset (meV per atom) = 47
- M_tot (μB per atom) = 0.000
- DOS at the Fermi energy (states/eV/atom) = 1.1180
- ρ (Mg/m³) = 5.44
- calculated formation energy (eV per atom) = -0.115
- crystal system = tetragonal

a b c (Å): 3.861 3.861 10.615
angles (deg): 90.00 90.00 90.00
Space group P4/mmm (No. 123)
One atom of each set of equivalent atoms:
Sr1 0.000 0.000 0.209 (multiplicity 2)
La1 0.500 0.500 0.500 (multiplicity 1)
Tl1 0.500 0.500 0.000 (multiplicity 1)



This record from Alexandria describes ReSi3Te after structural relaxation. The functional is PBE.

Output
- E (eV/atom) = -5.929
- energy above the most stable polymorph in this dataset (meV per atom) = 0
- M_tot (μB per atom) = 0.105
- DOS at the Fermi energy (states/eV/atom) = 1.0305
- ρ (Mg/m³) = 6.10
- crystal system = cubic
- formation energy without anion corrections (eV per atom) = 0.44

a b c (Å): 4.766 4.766 4.766
angles (deg): 90.00 90.00 90.00
Space group Pm-3m (No. 221)
One atom of each set of equivalent atoms:
Re1 0.000 0.000 0.000 (multiplicity 1)
Si1 0.000 0.000 0.500 (multiplicity 3)
Te1 0.500 0.500 0.500 (multiplicity 1)